Here is an optimized crystal structure of CdPtAu2 from Alexandria. Energies are from PBE.

Geometry as CIF:
```
data_CdPtAu2
_chemical_formula_sum 'Cd1 Pt1 Au2'
_space_group_name_H-M_alt 'P m m m'
_space_group_IT_number 47
_space_group_name_Hall '-P 2 2'
_cell_length_a 2.962
_cell_length_b 4.038
_cell_length_c 5.977
_cell_angle_alpha 90.00
_cell_angle_beta 90.00
_cell_angle_gamma 90.00
loop_
_atom_site_label
_atom_site_type_symbol
_atom_site_fract_x
_atom_site_fract_y
_atom_site_fract_z
Cd1 Cd 0.000 0.000 0.000
Pt1 Pt 0.000 0.000 0.500
Au1 Au 0.500 0.500 0.257
```

Values from the calculation:
total moment = 0.0 μB per cell
energy of formation from the pure elements = -93 meV/atom
ρ = 16.29 g/cm3